DFT (SCAN) results for a crystal of BiTeO2 relaxed with PBEsol.

Output
* E_form (uncorrected): 0.1294 eV per atom
* symmetry: Fm-3m
* spin magnetization: 0.00 μB per cell

Structure (POSCAR):
```
BiTeO2
1.0
-4.118 -0.028 -1.641
-3.121 -2.519 1.888
-3.304 1.894 2.270
Bi Te O
1 1 2
Direct
0.500 0.500 0.500
0.000 0.000 0.000
0.250 0.250 0.250
0.750 0.750 0.750
```


DFT (SCAN) results for a crystal of BiTeO4 relaxed with PBEsol.

Output
* E_form (uncorrected): -1.1858 eV per atom
* symmetry: Cc
* spin magnetization: 0.00 μB per cell

Structure (POSCAR):
```
BiTeO4
1.0
5.591 0.000 0.000
2.795 6.394 0.011
2.795 1.999 9.305
Bi O Te
4 16 4
Direct
0.955 0.246 0.756
0.044 0.746 0.256
0.227 0.609 0.844
0.319 0.109 0.344
0.156 0.089 0.119
0.798 0.502 0.343
0.913 0.459 0.910
0.199 0.494 0.656
0.700 0.204 0.585
0.855 0.919 0.878
0.520 0.290 0.915
0.356 0.002 0.843
0.511 0.704 0.085
0.285 0.033 0.597
0.718 0.959 0.410
0.651 0.994 0.156
0.086 0.533 0.097
0.636 0.589 0.619
0.276 0.790 0.415
0.348 0.419 0.378
0.810 0.424 0.119
0.492 0.505 0.496
0.647 0.924 0.619
0.507 0.005 0.996
```


DFT (SCAN) results for a crystal of BiTeO4 relaxed with PBEsol.

Output
* E_form (uncorrected): -1.1816 eV per atom
* symmetry: C2
* spin magnetization: 0.00 μB per cell

Structure (POSCAR):
```
BiTeO4
1.0
-4.734 1.615 2.504
-5.765 -2.153 -3.264
-3.403 -7.903 4.911
Bi O Te
4 16 4
Direct
0.771 0.643 0.901
0.316 0.357 0.099
0.963 0.500 0.500
0.051 0.000 0.000
0.493 0.548 0.664
0.204 0.740 0.411
0.153 0.333 0.874
0.284 0.289 0.345
0.280 0.036 0.166
0.717 0.214 0.159
0.804 0.746 0.097
0.648 0.254 0.903
0.918 0.711 0.655
0.482 0.964 0.834
0.705 0.452 0.336
0.853 0.158 0.633
0.359 0.667 0.126
0.090 0.786 0.841
0.355 0.260 0.589
0.645 0.842 0.367
0.500 0.247 0.749
0.646 0.170 0.372
0.187 0.830 0.628
0.496 0.753 0.251
```


DFT (SCAN) results for a crystal of Ti3Bi4O12 relaxed with PBEsol.

Output
* E_form (uncorrected): -2.2132 eV per atom
* symmetry: Cc
* spin magnetization: 0.00 μB per cell

Structure (POSCAR):
```
Ti3Bi4O12
1.0
5.373 0.000 0.000
0.000 5.417 0.004
-2.687 -0.013 16.484
O Ti Bi
24 6 8
Direct
0.910 0.325 0.744
0.002 0.732 0.002
0.208 0.344 0.511
0.000 0.232 0.002
0.638 0.527 0.863
0.341 0.769 0.721
0.702 0.264 0.476
0.761 0.036 0.137
0.069 0.349 0.248
0.672 0.767 0.279
0.502 0.736 0.001
0.179 0.849 0.248
0.499 0.236 0.001
0.364 0.567 0.379
0.015 0.067 0.379
0.377 0.536 0.137
0.834 0.825 0.744
0.380 0.269 0.721
0.991 0.064 0.612
0.622 0.564 0.612
0.606 0.267 0.279
0.303 0.844 0.511
0.225 0.027 0.863
0.774 0.764 0.476
0.494 0.521 0.496
0.875 0.030 0.243
0.628 0.525 0.758
0.368 0.530 0.243
0.130 0.025 0.758
0.002 0.021 0.496
0.062 0.483 0.633
0.571 0.983 0.633
0.930 0.486 0.368
0.299 0.963 0.081
0.711 0.969 0.925
0.782 0.463 0.081
0.438 0.986 0.368
0.214 0.469 0.925
```


DFT (SCAN) results for a crystal of TiBi2O relaxed with PBEsol.

Output
* E_form (uncorrected): 0.1311 eV per atom
* symmetry: I-42d
* spin magnetization: 0.00 μB per cell

Structure (POSCAR):
```
TiBi2O
1.0
-3.393 -4.949 0.538
2.723 1.130 5.254
-4.135 0.876 4.292
Bi Ti O
4 2 2
Direct
0.430 0.625 0.445
0.070 0.445 0.125
0.570 0.125 0.805
0.930 0.805 0.625
0.000 0.000 0.000
0.500 0.250 0.250
0.500 0.750 0.750
0.000 0.500 0.500
```


DFT (SCAN) results for a crystal of Ti8BiO7 relaxed with PBEsol.

Output
* E_form (uncorrected): -2.4609 eV per atom
* symmetry: Cmmm
* spin magnetization: 0.52 μB per cell

Structure (POSCAR):
```
Ti8BiO7
1.0
-0.365 -0.723 -2.884
1.804 -7.386 1.623
-8.969 2.038 0.623
Ti Bi O
8 1 7
Direct
0.500 0.488 0.341
0.000 0.825 0.000
0.500 0.853 0.341
0.000 0.795 0.590
0.000 0.205 0.410
0.500 0.512 0.659
0.500 0.147 0.659
0.000 0.175 0.000
0.500 0.500 0.000
0.500 0.000 0.000
0.000 0.324 0.649
0.000 0.295 0.241
0.000 0.054 0.759
0.000 0.676 0.351
0.000 0.705 0.759
0.000 0.946 0.241
```


> What is the spin magnetization in the sixth record?

0.52 μB per cell